1.
A geometry-optimized Pm4Ge2Pb structure, computed with GGA-PBE.

* energy relative to the elements: -0.564 eV/atom
* SG: R-3m (166)

Cell lengths 4.820, 4.820, 10.935 Å; angles 77.27, 77.27, 60.00 degrees
Positions (direct):
Pm (0.299, 0.299, 0.104)
Ge (0.599, 0.599, 0.204)
Ge (0.401, 0.401, 0.796)
Pm (0.885, 0.885, 0.345)
Pm (0.115, 0.115, 0.655)
Pm (0.701, 0.701, 0.896)
Pb (0.500, 0.500, 0.500)

2.
A geometry-optimized BaSnHg3 structure, computed with GGA-PBE.

* energy relative to the elements: -0.360 eV/atom
* SG: C2 (5)

Cell lengths 6.713, 6.493, 6.715 Å; angles 89.98, 86.74, 89.98 degrees
Positions (direct):
Ba (0.990, 0.876, 0.284)
Hg (0.170, 0.626, 0.797)
Sn (0.482, 0.625, 0.109)
Hg (0.478, 0.125, 0.104)
Hg (0.773, 0.875, 0.807)
Hg (0.467, 0.877, 0.502)
Hg (0.180, 0.376, 0.399)
Ba (0.657, 0.376, 0.617)
Sn (0.165, 0.126, 0.793)
Hg (0.874, 0.375, 0.094)

3.
A geometry-optimized Na3Ac2TmS6 structure, computed with GGA-PBE.

* formation energy without anion corrections: -1804 meV/atom
* SG: C2/m (12)

Cell lengths 4.213, 8.292, 9.386 Å; angles 101.21, 102.97, 90.00 degrees
Positions (direct):
S (0.333, 0.423, 0.665)
Ac (0.165, 0.322, 0.330)
S (0.347, 0.931, 0.694)
Na (0.158, 0.826, 0.316)
S (0.001, 0.222, 0.002)
S (0.667, 0.577, 0.335)
Tm (0.500, 0.000, 0.000)
S (0.653, 0.069, 0.306)
Ac (0.835, 0.678, 0.670)
Na (0.842, 0.174, 0.684)
S (0.999, 0.778, 0.998)
Na (0.500, 0.500, 0.000)

4.
A geometry-optimized Ti2Ga2Hg structure, computed with GGA-PBE.

* energy relative to the elements: -0.236 eV/atom
* SG: P4/mbm (127)

Cell lengths 7.072, 7.072, 3.433 Å; angles 90.00, 90.00, 90.00 degrees
Positions (direct):
Ti (0.823, 0.323, 0.500)
Ga (0.878, 0.622, 0.000)
Hg (0.500, 0.500, 0.000)
Ti (0.323, 0.177, 0.500)
Ga (0.622, 0.122, 0.000)
Ti (0.677, 0.823, 0.500)
Ga (0.122, 0.378, 0.000)
Hg (0.000, 0.000, 0.000)
Ti (0.177, 0.677, 0.500)
Ga (0.378, 0.878, 0.000)

5.
A geometry-optimized Ce2PdN structure, computed with GGA-PBE.

* formation energy without anion corrections: -694 meV/atom
* SG: P4/mmm (123)

Cell lengths 3.084, 3.084, 7.352 Å; angles 90.00, 90.00, 90.00 degrees
Positions (direct):
Ce (0.000, 0.000, 0.800)
N (0.500, 0.500, 0.000)
Ce (0.000, 0.000, 0.200)
Pd (0.500, 0.500, 0.500)

6.
A geometry-optimized SrCaZrMn2 structure, computed with GGA-PBE.

* energy relative to the elements: 2.000 eV/atom
* SG: P4/mmm (123)

Cell lengths 4.650, 5.082, 4.650 Å; angles 90.00, 90.00, 90.00 degrees
Site moments in Bohr magnetons follow the coordinates.
Positions (direct):
Zr (0.500, 0.500, 0.500)  0.04
Mn (0.000, 0.000, 0.500)  -0.16
Ca (0.000, 0.000, 0.000)  0.00
Sr (0.000, 0.500, 0.000)  -0.01
Mn (0.500, 0.000, 0.000)  -0.02

7.
A geometry-optimized Ta2TlTeBr structure, computed with GGA-PBE.

* formation energy without anion corrections: 1428 meV/atom
* SG: P4/mmm (123)

Cell lengths 5.153, 6.966, 5.153 Å; angles 90.00, 90.00, 90.00 degrees
Site moments in Bohr magnetons follow the coordinates.
Positions (direct):
Ta (0.500, 0.000, 0.000)  1.03
Br (0.000, 0.500, 0.000)  0.08
Te (0.000, 0.000, 0.000)  -0.05
Ta (0.000, 0.000, 0.500)  1.31
Tl (0.500, 0.500, 0.500)  0.03

8.
A geometry-optimized Pr2Sm2Y5 structure, computed with GGA-PBE.

* energy relative to the elements: 0.239 eV/atom
* SG: C2/m (12)

Cell lengths 3.523, 8.397, 12.642 Å; angles 120.59, 98.01, 90.00 degrees
Positions (direct):
Y (0.901, 0.541, 0.802)
Sm (0.546, 0.735, 0.092)
Sm (0.454, 0.265, 0.908)
Y (0.000, 0.000, 0.000)
Pr (0.184, 0.223, 0.367)
Y (0.310, 0.147, 0.620)
Pr (0.816, 0.777, 0.633)
Y (0.099, 0.459, 0.198)
Y (0.690, 0.853, 0.380)